# 1
Density functional theory data (PBE-GGA) for a relaxed LiMgReOs crystal.

Total energy ... -27.0 eV/f.u.
E above lowest polymorph ... 0.00 kJ/mol of atoms

abc: 4.3035 4.3035 4.3035
angles: 60.00 60.00 60.00
Fractional positions:
Li: 0.5000 0.5000 0.5000
Mg: 0.7500 0.7500 0.7500
Os: 0.0000 0.0000 0.0000
Re: 0.2500 0.2500 0.2500



# 2
Density functional theory data (PBE-GGA) for a relaxed LiMgTcOs crystal.

Total energy ... -24.9 eV/f.u.
E above lowest polymorph ... 0.00 kJ/mol of atoms

abc: 4.3081 4.3081 4.3081
angles: 60.00 60.00 60.00
Fractional positions:
Li: 0.5000 0.5000 0.5000
Mg: 0.7500 0.7500 0.7500
Os: 0.0000 0.0000 0.0000
Tc: 0.2500 0.2500 0.2500



# 3
Density functional theory data (PBE-GGA) for a relaxed Li4MgPtPb2 crystal.

Total energy ... -25.5 eV/f.u.

abc: 4.6507 4.6507 6.8927
angles: 90.00 90.00 90.00
Fractional positions:
Li: 0.0000 0.0000 0.0000
Li: 0.0000 0.5000 0.2106
Li: 0.5000 0.5000 0.5000
Li: 0.5000 0.0000 0.7894
Mg: 0.0000 0.0000 0.5000
Pb: 0.5000 0.0000 0.2375
Pb: 0.0000 0.5000 0.7625
Pt: 0.5000 0.5000 0.0000



# 4
Density functional theory data (PBE-GGA) for a relaxed LiMgPd2 crystal.

Total energy ... -15.8 eV/f.u.

abc: 4.4338 4.4338 4.4338
angles: 60.00 60.00 60.00
Fractional positions:
Li: 0.5000 0.5000 0.5000
Mg: 0.2500 0.2500 0.2500
Pd: 0.0000 0.0000 0.0000
Pd: 0.7500 0.7500 0.7500



# 5
Density functional theory data (PBE-GGA) for a relaxed LiMgPd2 crystal.

Total energy ... -15.6 eV/f.u.

abc: 4.4602 4.4602 7.8778
angles: 90.00 90.00 120.00
Fractional positions:
Li: 0.3333 0.6667 0.2500
Li: 0.6667 0.3333 0.7500
Mg: 0.0000 0.0000 0.0000
Mg: 0.0000 0.0000 0.5000
Pd: 0.6667 0.3333 0.0813
Pd: 0.6667 0.3333 0.4187
Pd: 0.3333 0.6667 0.5813
Pd: 0.3333 0.6667 0.9187



# 6
Density functional theory data (PBE-GGA) for a relaxed LiMgPd2 crystal.

Total energy ... -15.8 eV/f.u.

abc: 4.3112 4.3112 8.1506
angles: 90.00 90.00 120.00
Fractional positions:
Li: 0.0000 0.0000 0.0000
Li: 0.0000 0.0000 0.5000
Mg: 0.3333 0.6667 0.2500
Mg: 0.6667 0.3333 0.7500
Pd: 0.6667 0.3333 0.0853
Pd: 0.6667 0.3333 0.4147
Pd: 0.3333 0.6667 0.5853
Pd: 0.3333 0.6667 0.9147



Which value of total energy does entry 1 give? -27.0 eV/f.u.



The highest total energy belongs to which entry? number 5